[1]
Computed, not measured: ZnCo2Cu after structural relaxation at the PBE level of DFT.

Cell lengths 2.857, 4.018, 4.149 Å; angles 90.00, 90.00, 90.00 degrees
Fractional positions:
Zn 0.000 0.000 0.000
Co 0.000 0.500 0.500
Co 0.500 0.000 0.500
Cu 0.500 0.500 0.000

Properties
As for the formation energy: 9 kJ per mole of atoms. The total moment is 3.0 Bohr magnetons per cell. The final energy comes out at -19.2 eV/f.u. Its calculated volume is 11.91 Å³/atom. The space group is Pmmm, No. 47.

***

[2]
Computed, not measured: ZnCo2Cu after structural relaxation at the PBE level of DFT.

Cell lengths 2.498, 2.498, 8.253 Å; angles 90.00, 90.00, 111.15 degrees
Fractional positions:
Zn 0.000 0.000 0.000
Co 0.000 0.000 0.489
Co 0.500 0.500 0.257
Cu 0.500 0.500 0.740

Properties
As for the formation energy: 8 kJ per mole of atoms. The total moment is 3.3 Bohr magnetons per cell. The final energy comes out at -19.2 eV/f.u. Its calculated volume is 12.01 Å³/atom. The space group is Cmm2, No. 35.

***

[3]
Computed, not measured: Zn2CoCu after structural relaxation at the PBE level of DFT.

Cell lengths 3.033, 3.033, 5.545 Å; angles 90.00, 90.00, 90.00 degrees
Fractional positions:
Zn 0.000 0.000 0.000
Zn 0.500 0.500 0.286
Co 0.000 0.000 0.515
Cu 0.500 0.500 0.756

Properties
As for the formation energy: 6 kJ per mole of atoms. The total moment is 1.0 Bohr magnetons per cell. The final energy comes out at -13.5 eV/f.u. Its calculated volume is 12.75 Å³/atom. The space group is P4mm, No. 99.

***

[4]
Computed, not measured: Zn2CoCu after structural relaxation at the PBE level of DFT.

Cell lengths 4.531, 4.531, 4.531 Å; angles 132.24, 132.24, 69.85 degrees
Fractional positions:
Zn 0.000 0.000 0.000
Zn 0.750 0.250 0.500
Co 0.250 0.750 0.500
Cu 0.500 0.500 0.000

Properties
As for the formation energy: 2 kJ per mole of atoms. The total moment is 0.3 Bohr magnetons per cell. The final energy comes out at -13.7 eV/f.u. Its calculated volume is 12.50 Å³/atom. The space group is I-4m2, No. 119.

***

[5]
Computed, not measured: Zn3CoCu after structural relaxation at the PBE level of DFT.

Cell lengths 5.143, 3.878, 12.937 Å; angles 90.00, 90.00, 90.00 degrees
Fractional positions:
Zn 0.061 0.250 0.140
Zn 0.149 0.250 0.545
Zn 0.191 0.250 0.756
Zn 0.309 0.750 0.256
Zn 0.351 0.750 0.045
Zn 0.439 0.750 0.640
Zn 0.561 0.250 0.360
Zn 0.649 0.250 0.955
Zn 0.691 0.250 0.744
Zn 0.809 0.750 0.244
Zn 0.851 0.750 0.455
Zn 0.939 0.750 0.860
Co 0.147 0.250 0.951
Co 0.353 0.750 0.451
Co 0.647 0.250 0.549
Co 0.853 0.750 0.049
Cu 0.067 0.250 0.350
Cu 0.433 0.750 0.850
Cu 0.567 0.250 0.150
Cu 0.933 0.750 0.650

Properties
As for the formation energy: -2 kJ per mole of atoms. The total moment is 0.0 Bohr magnetons per cell. The final energy comes out at -15.1 eV/f.u. Its calculated volume is 12.90 Å³/atom. The space group is Pnma, No. 62.

***

[6]
Computed, not measured: Zn6CoCu2 after structural relaxation at the PBE level of DFT.

Cell lengths 7.019, 7.019, 4.079 Å; angles 104.92, 104.92, 48.15 degrees
Fractional positions:
Zn 0.083 0.595 0.344
Zn 0.239 0.761 0.000
Zn 0.405 0.917 0.656
Zn 0.595 0.083 0.344
Zn 0.761 0.239 0.000
Zn 0.917 0.405 0.656
Co 0.000 0.000 0.500
Cu 0.333 0.333 0.838
Cu 0.667 0.667 0.162

Properties
As for the formation energy: 13 kJ per mole of atoms. The total moment is 0.2 Bohr magnetons per cell. The final energy comes out at -21.7 eV/f.u. Its calculated volume is 15.96 Å³/atom. The space group is C2/m, No. 12.

***

[7]
Computed, not measured: ZnCo2Cu after structural relaxation at the PBE level of DFT.

Cell lengths 5.255, 5.255, 5.255 Å; angles 102.17, 102.17, 125.34 degrees
Fractional positions:
Zn 0.000 0.000 0.000
Zn 0.750 0.250 0.500
Co 0.132 0.625 0.007
Co 0.375 0.382 0.507
Co 0.618 0.125 0.993
Co 0.875 0.868 0.493
Cu 0.250 0.750 0.500
Cu 0.500 0.500 0.000

Properties
As for the formation energy: 48 kJ per mole of atoms. The total moment is 6.3 Bohr magnetons per cell. The final energy comes out at -17.6 eV/f.u. Its calculated volume is 13.15 Å³/atom. The space group is I-42d, No. 122.

***

[8]
Computed, not measured: ZnCo2Cu after structural relaxation at the PBE level of DFT.

Cell lengths 2.632, 2.632, 6.859 Å; angles 90.00, 90.00, 90.00 degrees
Fractional positions:
Zn 0.000 0.000 0.000
Co 0.000 0.000 0.477
Co 0.500 0.500 0.260
Cu 0.500 0.500 0.732

Properties
As for the formation energy: 2 kJ per mole of atoms. The total moment is 2.8 Bohr magnetons per cell. The final energy comes out at -19.5 eV/f.u. Its calculated volume is 11.88 Å³/atom. The space group is P4mm, No. 99.